# Cs2MnTcO6 (PBE with a Hubbard U, optimized geometry)
data_Cs2MnTcO6
_chemical_formula_sum 'Cs2 Mn1 Tc1 O6'
_symmetry_space_group_name_H-M 'P -3 m 1'
_symmetry_Int_Tables_number 164
_symmetry_space_group_name_Hall '-P 3 2"'
_cell_length_a 6.5394
_cell_length_b 6.5394
_cell_length_c 5.0247
_cell_angle_alpha 90.00
_cell_angle_beta 90.00
_cell_angle_gamma 120.00
loop_
_atom_site_label
_atom_site_fract_x
_atom_site_fract_y
_atom_site_fract_z
_atom_site_occupancy
Cs1 0.3333 0.6667 0.2363 1
Mn1 0.0000 0.0000 0.0000 1
Tc1 0.0000 0.0000 0.5000 1
O1 0.1318 0.2635 0.7480 1
# E_tot ... -6.36 eV per atom